VASP calculation (GGA+U) on a relaxed structure of CrCuBO4.

The structure belongs to space group Cmcm (No. 63); the cell edges are 5.210, 7.962 and 6.039 Å and the angles 90.00°, 90.00° and 90.00°. The distinct sites, in fractional coordinates, are Cr at (0.000, 0.000, 0.000), Cu at (0.000, 0.312, 0.250), B at (0.000, 0.348, 0.750), O at (0.000, 0.246, 0.554) and O at (0.236, 0.468, 0.750).

Its raw total energy is -197.7 eV/cell.